No. 1
A plane-wave DFT calculation with PBE was carried out for a relaxed structure of Li2BiH.

Output
Distance to the lowest polymorph of the same formula ... 0 meV/atom
Total magnetization ... 0.00 μB/cell
Final energy ... -3.08 eV/atom
Crystal system ... monoclinic

Geometry as CIF:
```
data_Li2BiH
_space_group_name_H-M_alt 'P 1 21 1'
_space_group_IT_number 4
_space_group_name_Hall 'P 2yb'
_cell_length_a 3.2512
_cell_length_b 5.3987
_cell_length_c 8.0743
_cell_angle_alpha 90.00
_cell_angle_beta 101.51
_cell_angle_gamma 90.00
loop_
_atom_site_label
_atom_site_fract_x
_atom_site_fract_y
_atom_site_fract_z
Li1 0.0982 0.0000 0.1957
Li2 0.2485 0.3401 0.4967
Bi1 0.4339 0.9996 0.8669
H1 0.2155 0.9987 0.4306
```



No. 2
A plane-wave DFT calculation with PBE was carried out for a relaxed structure of Li2BiH.

Output
Distance to the lowest polymorph of the same formula ... 178 meV/atom
Total magnetization ... 0.00 μB/cell
Final energy ... -2.90 eV/atom
Crystal system ... trigonal

Geometry as CIF:
```
data_Li2BiH
_space_group_name_H-M_alt 'R -3 m'
_space_group_IT_number 166
_space_group_name_Hall '-R 3 2"'
_cell_length_a 3.4748
_cell_length_b 3.4748
_cell_length_c 23.8350
_cell_angle_alpha 90.00
_cell_angle_beta 90.00
_cell_angle_gamma 120.00
loop_
_atom_site_label
_atom_site_fract_x
_atom_site_fract_y
_atom_site_fract_z
Li1 0.0000 0.0000 0.0689
Bi1 0.0000 0.0000 0.5000
H1 0.0000 0.0000 0.0000
```